# 1
RbZnGaF6 PBE optimized geometry; raw formation energy = -2.622 eV per atom; calculated total energy = -4.4551 eV/atom
1.0
-3.635 3.721 5.226
3.635 -3.721 5.226
3.635 3.721 -5.226
Rb Zn Ga F
2 2 2 12
Cartesian
0.000 1.861 1.206
3.635 1.861 4.020
1.818 1.861 -2.613
1.818 -1.861 2.613
3.635 0.000 0.000
0.000 0.000 5.226
2.266 -0.313 1.281
5.004 -0.313 1.281
3.635 -1.861 3.450
3.635 1.861 0.600
2.266 3.408 -1.281
1.369 -0.313 3.945
2.266 4.035 1.281
1.369 0.313 6.508
0.000 1.861 4.626
0.000 5.582 1.776
-1.369 4.035 3.945
1.369 4.035 3.945

---

# 2
TaSb4As PBE optimized geometry; raw formation energy = 0.960 eV per atom; calculated total energy = -4.5383 eV/atom
1.0
0.000 4.258 4.258
4.258 0.000 4.258
4.258 4.258 0.000
Ta Sb As
1 4 1
Cartesian
0.000 0.000 0.000
3.192 3.192 3.192
5.324 5.324 3.192
5.324 3.192 5.324
3.192 5.324 5.324
6.387 6.387 6.387